This record from the Alexandria database describes CsVCu2F8 after structural relaxation. The functional is GGA+U.

abc: 8.7112 8.7112 8.7112
angles: 36.20 36.20 36.20
Last column: nearest neighbours and their distance in Å.
Sites, in units of the cell vectors:
1 Cs 0.0000 0.0000 0.0000  12 F 3.19-3.51
2 V 0.5000 0.5000 0.5000  6 F 1.94
3 Cu 0.2315 0.2315 0.2315  4 F 1.83-2.01
4 Cu 0.7685 0.7685 0.7685  4 F 1.83-2.01
5 F 0.1641 0.7533 0.4462  1 V 1.94, 1 Cu 2.01
6 F 0.2467 0.5538 0.8359  1 V 1.94, 1 Cu 2.01
7 F 0.3066 0.3066 0.3066  1 Cu 1.83
8 F 0.4462 0.1641 0.7533  1 V 1.94, 1 Cu 2.01
9 F 0.5538 0.8359 0.2467  1 V 1.94, 1 Cu 2.01
10 F 0.6934 0.6934 0.6934  1 Cu 1.83
11 F 0.7533 0.4462 0.1641  1 V 1.94, 1 Cu 2.01
12 F 0.8359 0.2467 0.5538  1 V 1.94, 1 Cu 2.01

Results
As for the calculated density: 3.7 g/cm³. As for the energy: -4.72 eV/atom. As for the density of states at the Fermi level: 0.883 states/eV per atom.